Record 1
KNa2CuGe | GGA-PBE | optimized geometry

Output
Spin magnetization   0.00 μB/cell
Energy of formation from the pure elements   0.044 eV per atom

a b c (Å): 5.604 5.604 4.593
angles (deg): 90.00 90.00 90.00
Space group P4/mmm (No. 123)
Symmetry-distinct sites (fractional):
1 K 0.000 0.000 0.000 [1 per cell]
2 Na 0.000 0.500 0.500 [2 per cell]
3 Cu 0.500 0.500 0.500 [1 per cell]
4 Ge 0.500 0.500 0.000 [1 per cell]

***

Record 2
KNa2CuGe | GGA-PBE | optimized geometry

Output
Spin magnetization   0.00 μB/cell
Energy of formation from the pure elements   0.051 eV per atom

a b c (Å): 5.729 5.729 4.657
angles (deg): 90.00 90.00 90.00
Space group P4/mmm (No. 123)
Symmetry-distinct sites (fractional):
1 K 0.000 0.000 0.000 [1 per cell]
2 Na 0.000 0.500 0.500 [2 per cell]
3 Cu 0.500 0.500 0.000 [1 per cell]
4 Ge 0.500 0.500 0.500 [1 per cell]

***

Record 3
KCuGe2O6 | GGA-PBE | optimized geometry

Output
Spin magnetization   0.00 μB/cell
Formation energy without anion corrections   -1.26 eV per atom

a b c (Å): 10.821 10.193 5.776
angles (deg): 90.00 108.92 90.00
Space group C2/c (No. 15)
Symmetry-distinct sites (fractional):
1 K 0.000 0.092 0.250 [4 per cell]
2 Cu 0.000 0.269 0.750 [4 per cell]
3 Ge 0.207 0.410 0.130 [8 per cell]
4 O 0.087 0.287 0.077 [8 per cell]
5 O 0.132 0.134 0.711 [8 per cell]
6 O 0.171 0.460 0.812 [8 per cell]

***

Record 4
K2Cu2GeO6 | GGA-PBE | optimized geometry

Output
Spin magnetization   0.00 μB/cell
Formation energy without anion corrections   -1.01 eV per atom

a b c (Å): 5.6491 5.6491 17.4240
angles (deg): 90.00 90.00 120.00
Space group R-3m (No. 166, hexagonal axes)
Symmetry-distinct sites (fractional):
1 K 0.0000 0.0000 0.2093 [6 per cell]
2 Cu 0.0000 0.0000 0.3970 [6 per cell]
3 Ge 0.0000 0.0000 0.0000 [3 per cell]
4 O 0.0330 0.5165 0.7370 [18 per cell]

***

Record 5
K2CuGeO4 | GGA-PBE | optimized geometry

Output
Spin magnetization   8.06 μB/cell
Formation energy without anion corrections   -1.31 eV per atom

a b c (Å): 5.273 11.925 19.083
angles (deg): 90.00 90.00 90.00
Space group Fddd (No. 70, origin choice 2)
Symmetry-distinct sites (fractional):
1 K 0.125 0.125 0.306 [16 per cell]
2 Cu 0.125 0.125 0.625 [8 per cell]
3 Ge 0.125 0.125 0.125 [8 per cell]
4 O 0.094 0.285 0.419 [32 per cell]

***

Record 6
KCuGePd2 | GGA-PBE | optimized geometry

Output
Spin magnetization   0.00 μB/cell
Energy of formation from the pure elements   0.294 eV per atom

a b c (Å): 4.969 4.969 4.456
angles (deg): 90.00 90.00 90.00
Space group P4/mmm (No. 123)
Symmetry-distinct sites (fractional):
1 K 0.000 0.000 0.000 [1 per cell]
2 Cu 0.500 0.500 0.500 [1 per cell]
3 Ge 0.500 0.500 0.000 [1 per cell]
4 Pd 0.000 0.500 0.500 [2 per cell]

***

Record 7
KCu2GePd | GGA-PBE | optimized geometry

Output
Spin magnetization   0.00 μB/cell
Energy of formation from the pure elements   0.153 eV per atom

a b c (Å): 4.701 4.701 4.887
angles (deg): 90.00 90.00 90.00
Space group P4/mmm (No. 123)
Symmetry-distinct sites (fractional):
1 K 0.000 0.000 0.000 [1 per cell]
2 Cu 0.000 0.500 0.500 [2 per cell]
3 Ge 0.500 0.500 0.500 [1 per cell]
4 Pd 0.500 0.500 0.000 [1 per cell]

***

Record 8
K2RbCuGe | GGA-PBE | optimized geometry

Output
Spin magnetization   0.00 μB/cell
Energy of formation from the pure elements   0.115 eV per atom

a b c (Å): 6.484 6.484 4.658
angles (deg): 90.00 90.00 90.00
Space group P4/mmm (No. 123)
Symmetry-distinct sites (fractional):
1 K 0.000 0.500 0.000 [2 per cell]
2 Rb 0.000 0.000 0.500 [1 per cell]
3 Cu 0.500 0.500 0.000 [1 per cell]
4 Ge 0.500 0.500 0.500 [1 per cell]

***

Record 9
K2CuSnGe | GGA-PBE | optimized geometry

Output
Spin magnetization   1.13 μB/cell
Energy of formation from the pure elements   0.368 eV per atom

a b c (Å): 6.518 6.518 4.440
angles (deg): 90.00 90.00 90.00
Space group P4/mmm (No. 123)
Symmetry-distinct sites (fractional):
1 K 0.000 0.500 0.000 [2 per cell]
2 Cu 0.000 0.000 0.500 [1 per cell]
3 Sn 0.500 0.500 0.500 [1 per cell]
4 Ge 0.000 0.000 0.000 [1 per cell]

***

Record 10
KSrCu2Ge | GGA-PBE | optimized geometry

Output
Spin magnetization   0.00 μB/cell
Energy of formation from the pure elements   1.201 eV per atom

a b c (Å): 5.064 5.064 5.978
angles (deg): 90.00 90.00 90.00
Space group P4/mmm (No. 123)
Symmetry-distinct sites (fractional):
1 K 0.000 0.000 0.000 [1 per cell]
2 Sr 0.000 0.000 0.500 [1 per cell]
3 Cu 0.000 0.500 0.000 [2 per cell]
4 Ge 0.500 0.500 0.500 [1 per cell]

***

Record 11
KCuGeTe3 | GGA-PBE | optimized geometry

Output
Spin magnetization   0.00 μB/cell
Formation energy without anion corrections   -0.29 eV per atom

a b c (Å): 9.822 4.168 9.942
angles (deg): 90.00 111.76 90.00
Space group P2_1/m (No. 11)
Symmetry-distinct sites (fractional):
1 K 0.199 0.250 0.240 [2 per cell]
2 Cu 0.064 0.250 0.574 [2 per cell]
3 Ge 0.335 0.750 0.859 [2 per cell]
4 Te 0.131 0.250 0.855 [2 per cell]
5 Te 0.219 0.750 0.548 [2 per cell]
6 Te 0.464 0.750 0.157 [2 per cell]

***

Record 12
KCu2GeTe4 | GGA-PBE | optimized geometry

Output
Spin magnetization   0.00 μB/cell
Formation energy without anion corrections   -0.19 eV per atom

a b c (Å): 7.100 7.100 9.785
angles (deg): 90.00 90.00 90.00
Space group I-42m (No. 121)
Symmetry-distinct sites (fractional):
1 K 0.000 0.000 0.000 [2 per cell]
2 Cu 0.000 0.500 0.250 [4 per cell]
3 Ge 0.000 0.000 0.500 [2 per cell]
4 Te 0.208 0.208 0.337 [8 per cell]

***

Record 13
KTi2CuGe | GGA-PBE | optimized geometry

Output
Spin magnetization   4.11 μB/cell
Energy of formation from the pure elements   0.679 eV per atom

a b c (Å): 5.057 5.057 4.777
angles (deg): 90.00 90.00 90.00
Space group P4/mmm (No. 123)
Symmetry-distinct sites (fractional):
1 K 0.000 0.000 0.000 [1 per cell]
2 Ti 0.000 0.500 0.500 [2 per cell]
3 Cu 0.500 0.500 0.000 [1 per cell]
4 Ge 0.500 0.500 0.500 [1 per cell]

***

Record 14
La4CuGe3 | GGA-PBE | optimized geometry

Output
Spin magnetization   0.31 μB/cell
Energy of formation from the pure elements   -0.669 eV per atom

a b c (Å): 4.228 4.463 11.406
angles (deg): 90.00 90.00 90.00
Space group Pmm2 (No. 25)
Symmetry-distinct sites (fractional):
1 La 0.000 0.000 0.000 [1 per cell]
2 La 0.000 0.500 0.497 [1 per cell]
3 La 0.500 0.000 0.274 [1 per cell]
4 La 0.500 0.500 0.777 [1 per cell]
5 Cu 0.500 0.500 0.075 [1 per cell]
6 Ge 0.000 0.000 0.715 [1 per cell]
7 Ge 0.000 0.500 0.209 [1 per cell]
8 Ge 0.500 0.000 0.559 [1 per cell]

***

Record 15
LaCuGe | GGA-PBE | optimized geometry

Output
Spin magnetization   0.00 μB/cell
Energy of formation from the pure elements   0.113 eV per atom

a b c (Å): 4.537 4.537 6.815
angles (deg): 90.00 90.00 90.00
Space group P4/nmm (No. 129, origin choice 2)
Symmetry-distinct sites (fractional):
1 La 0.250 0.750 0.000 [2 per cell]
2 Cu 0.250 0.250 0.310 [2 per cell]
3 Ge 0.250 0.250 0.656 [2 per cell]

***

Record 16
LaCu2Ge2 | GGA-PBE | optimized geometry

Output
Spin magnetization   0.00 μB/cell
Energy of formation from the pure elements   -0.143 eV per atom

a b c (Å): 7.806 7.806 2.971
angles (deg): 90.00 90.00 90.00
Space group P4/mbm (No. 127)
Symmetry-distinct sites (fractional):
1 La 0.000 0.000 0.000 [2 per cell]
2 Cu 0.114 0.386 0.000 [4 per cell]
3 Ge 0.170 0.670 0.500 [4 per cell]

***

Record 17
La5Cu2Ge | GGA-PBE | optimized geometry

Output
Spin magnetization   0.00 μB/cell
Energy of formation from the pure elements   -0.299 eV per atom

a b c (Å): 8.239 8.239 13.040
angles (deg): 90.00 90.00 90.00
Space group I4/mcm (No. 140)
Symmetry-distinct sites (fractional):
1 La 0.000 0.000 0.000 [4 per cell]
2 La 0.163 0.337 0.148 [16 per cell]
3 Cu 0.122 0.378 0.500 [8 per cell]
4 Ge 0.000 0.000 0.250 [4 per cell]

***

Record 18
LaCuGe | GGA-PBE | optimized geometry

Output
Spin magnetization   0.00 μB/cell
Energy of formation from the pure elements   -0.648 eV per atom

a b c (Å): 4.2675 4.2675 4.2297
angles (deg): 90.00 90.00 120.00
Space group P-6m2 (No. 187)
Symmetry-distinct sites (fractional):
1 La 0.0000 0.0000 0.0000 [1 per cell]
2 Cu 0.3333 0.6667 0.5000 [1 per cell]
3 Ge 0.6667 0.3333 0.5000 [1 per cell]

***

Record 19
LaCu2Ge2 | GGA-PBE | optimized geometry

Output
Spin magnetization   0.00 μB/cell
Energy of formation from the pure elements   -0.563 eV per atom

a b c (Å): 5.996 6.000 5.920
angles (deg): 90.00 120.21 90.00
Space group C2/m (No. 12)
Symmetry-distinct sites (fractional):
1 La 0.000 0.000 0.000 [2 per cell]
2 Cu 0.000 0.248 0.500 [4 per cell]
3 Ge 0.124 0.500 0.251 [4 per cell]

***

Record 20
La6Cu2Ge | GGA-PBE | optimized geometry

Output
Spin magnetization   0.00 μB/cell
Energy of formation from the pure elements   -0.224 eV per atom

a b c (Å): 9.760 10.287 10.513
angles (deg): 90.00 90.00 90.00
Space group Immm (No. 71)
Symmetry-distinct sites (fractional):
1 La 0.000 0.242 0.191 [8 per cell]
2 La 0.207 0.175 0.500 [8 per cell]
3 La 0.230 0.500 0.321 [8 per cell]
4 Cu 0.000 0.000 0.367 [4 per cell]
5 Cu 0.000 0.380 0.500 [4 per cell]
6 Ge 0.000 0.000 0.000 [2 per cell]
7 Ge 0.000 0.500 0.000 [2 per cell]

***

Record 21
LaCuGe3 | GGA-PBE | optimized geometry

Output
Spin magnetization   0.00 μB/cell
Energy of formation from the pure elements   -0.326 eV per atom

a b c (Å): 4.601 6.521 6.880
angles (deg): 90.00 90.00 90.00
Space group Pmmn (No. 59, origin choice 2)
Symmetry-distinct sites (fractional):
1 La 0.250 0.250 0.169 [2 per cell]
2 Cu 0.250 0.750 0.490 [2 per cell]
3 Ge 0.250 0.061 0.689 [4 per cell]
4 Ge 0.250 0.750 0.139 [2 per cell]

***

Record 22
LaCu2Ge2 | GGA-PBE | optimized geometry

Output
Spin magnetization   0.23 μB/cell
Energy of formation from the pure elements   -0.086 eV per atom

a b c (Å): 7.873 7.873 2.963
angles (deg): 90.00 90.00 90.00
Space group P4/mbm (No. 127)
Symmetry-distinct sites (fractional):
1 La 0.000 0.000 0.000 [2 per cell]
2 Cu 0.145 0.355 0.500 [4 per cell]
3 Ge 0.137 0.637 0.000 [4 per cell]

***

Record 23
LaCuGe3 | GGA-PBE | optimized geometry

Output
Spin magnetization   0.00 μB/cell
Energy of formation from the pure elements   -0.108 eV per atom

a b c (Å): 4.788 4.788 4.788
angles (deg): 90.00 90.00 90.00
Space group Pm-3m (No. 221)
Symmetry-distinct sites (fractional):
1 La 0.000 0.000 0.000 [1 per cell]
2 Cu 0.500 0.500 0.500 [1 per cell]
3 Ge 0.000 0.500 0.500 [3 per cell]

***

Record 24
LaCuGe | GGA-PBE | optimized geometry

Output
Spin magnetization   0.00 μB/cell
Energy of formation from the pure elements   -0.472 eV per atom

a b c (Å): 4.119 5.542 6.281
angles (deg): 78.57 71.21 89.96
Space group P-1 (No. 2)
Symmetry-distinct sites (fractional):
1 La 0.114 0.299 0.286 [2 per cell]
2 Cu 0.219 0.859 0.062 [2 per cell]
3 Ge 0.385 0.233 0.728 [2 per cell]

***

Number 1: final energy -2.45 eV per atom. Number 2: final energy -2.44 eV per atom. Number 3: final energy -5.67 eV per atom. Number 4: final energy -5.07 eV per atom. Number 5: final energy -5.15 eV per atom. Number 6: final energy -3.75 eV per atom. Number 7: final energy -3.67 eV per atom. Number 8: final energy -2.26 eV per atom. Number 9: final energy -2.61 eV per atom. Number 10: final energy -1.92 eV per atom. Number 11: final energy -3.50 eV per atom. Number 12: final energy -3.50 eV per atom. Number 13: final energy -4.44 eV per atom. Number 14: final energy -5.38 eV per atom. Number 15: final energy -4.43 eV per atom. Number 16: final energy -4.61 eV per atom. Number 17: final energy -4.98 eV per atom. Number 18: final energy -5.20 eV per atom. Number 19: final energy -5.03 eV per atom. Number 20: final energy -4.93 eV per atom. Number 21: final energy -4.90 eV per atom. Number 22: final energy -4.56 eV per atom. Number 23: final energy -4.68 eV per atom. Number 24: final energy -5.02 eV per atom.